Entry 1:
HgTe | Alexandria | GGA-PBE | relaxed; density of states at the Fermi level = 3.62 states/eV per cell; formation energy (no corrections) = 0.13 eV per atom; total DFT energy (no corrections) = -3.18 eV/f.u.; calculated density = 8.46 g cm⁻³; magnetization = 0.0 μB/cell; SG = P-3m1
1.0
5.2244 0.0000 0.0000
-2.6122 4.5245 0.0000
0.0000 0.0000 16.3500
Hg Te
6 6
direct
0.0000 0.0000 0.1109
0.0000 0.0000 0.8891
0.3333 0.6667 0.2217
0.3333 0.6667 0.4445
0.6667 0.3333 0.5555
0.6667 0.3333 0.7783
0.0000 0.0000 0.4134
0.0000 0.0000 0.5866
0.3333 0.6667 0.7468
0.3333 0.6667 0.9200
0.6667 0.3333 0.0800
0.6667 0.3333 0.2532



Entry 2:
Hg5Te | Alexandria | GGA-PBE | relaxed; density of states at the Fermi level = 4.79 states/eV per cell; formation energy (no corrections) = 0.18 eV per atom; total DFT energy (no corrections) = -3.55 eV/f.u.; calculated density = 11.06 g cm⁻³; magnetization = 0.0 μB/cell; SG = F-43m
1.0
0.0000 4.3939 4.3939
4.3939 0.0000 4.3939
4.3939 4.3939 0.0000
Hg Te
5 1
direct
0.0000 0.0000 0.0000
0.1255 0.6248 0.6248
0.6248 0.1255 0.6248
0.6248 0.6248 0.1255
0.6248 0.6248 0.6248
0.2500 0.2500 0.2500



Entry 3:
HgTe | Alexandria | GGA-PBE | relaxed; density of states at the Fermi level = 0.90 states/eV per cell; formation energy (no corrections) = -0.07 eV per atom; total DFT energy (no corrections) = -3.58 eV/f.u.; calculated density = 7.89 g cm⁻³; magnetization = 0.0 μB/cell; SG = R-3m
1.0
2.3775 1.3727 7.0528
-2.3775 1.3727 7.0528
0.0000 -2.7453 7.0528
Hg Te
2 2
direct
0.1094 0.1094 0.1094
0.8906 0.8906 0.8906
0.2619 0.2619 0.2619
0.7381 0.7381 0.7381